(1)
Below is a relaxed structure of BaPmPr2, with properties calculated at the PBE-GGA level.

crystal system = trigonal
total DFT energy (no corrections) = -3.945 eV per atom
DFT formation energy = 0.113 eV per atom
ρ = 5864 kg/m³
excess energy over the best structure of this formula in the dataset = 6 kJ/mol of formula units
space group = No. 160

```
BaPmPr2
1.0
3.8257 0.0000 0.0000
1.9129 3.3132 0.0000
1.9129 1.1044 12.6040
Pm Ba Pr
1 1 2
Direct
0.5001 0.5001 0.4997 Pm
0.6669 0.6669 0.9994 Ba
0.2433 0.2433 0.2702 Pr
0.0898 0.0898 0.7307 Pr
```



(2)
Below is a relaxed structure of Tb2PrRh3, with properties calculated at the PBE-GGA level.

crystal system = tetragonal
total DFT energy (no corrections) = -6.767 eV per atom
DFT formation energy = -0.751 eV per atom
ρ = 10044 kg/m³
space group = No. 123

```
Tb2PrRh3
1.0
-1.0150 -1.8283 -2.7709
0.3780 -2.9423 1.8030
-10.0036 0.6839 3.2132
Pr Rh Tb
1 3 2
Direct
0.5000 0.5000 0.5000 Pr
0.0000 0.0000 0.6790 Rh
0.0000 0.0000 0.0000 Rh
0.0000 0.0000 0.3210 Rh
0.5000 0.5000 0.1630 Tb
0.5000 0.5000 0.8370 Tb
```



(3)
Below is a relaxed structure of Hf2Zr2Pt, with properties calculated at the PBE-GGA level.

crystal system = tetragonal
total DFT energy (no corrections) = -8.970 eV per atom
DFT formation energy = -0.361 eV per atom
ρ = 10779 kg/m³
excess energy over the best structure of this formula in the dataset = 0 kJ/mol of formula units
space group = No. 141

```
Hf2Zr2Pt
1.0
4.5984 0.0000 0.0000
0.0000 4.5984 0.0000
-2.2992 -2.2992 10.7022
Hf Pt Zr
4 2 4
Direct
0.5768 0.0768 0.1535 Hf
0.1732 0.1732 0.3465 Hf
0.8268 0.8268 0.6535 Hf
0.9232 0.4232 0.8465 Hf
0.2500 0.7500 0.5000 Pt
0.5000 0.5000 0.0000 Pt
0.0770 0.5770 0.1540 Zr
0.3270 0.3270 0.6540 Zr
0.6730 0.6730 0.3460 Zr
0.4230 0.9230 0.8460 Zr
```



(4)
Below is a relaxed structure of La2ReRh, with properties calculated at the PBE-GGA level.

crystal system = cubic
total DFT energy (no corrections) = -7.341 eV per atom
DFT formation energy = 0.073 eV per atom
ρ = 10227 kg/m³
excess energy over the best structure of this formula in the dataset = 62 kJ/mol of formula units
space group = No. 225

```
La2ReRh
1.0
0.0000 3.5836 3.5836
3.5836 0.0000 3.5836
3.5836 3.5836 0.0000
Re La Rh
1 2 1
Direct
0.5000 0.5000 0.5000 Re
0.2500 0.2500 0.2500 La
0.7500 0.7500 0.7500 La
0.0000 0.0000 0.0000 Rh
```



(5)
Below is a relaxed structure of HfNb2VC4, with properties calculated at the PBE-GGA level.

crystal system = trigonal
total DFT energy (no corrections) = -10.050 eV per atom
DFT formation energy = -0.536 eV per atom
ρ = 8653 kg/m³
space group = No. 160

```
HfNb2VC4
1.0
10.4179 -0.0049 -0.0029
9.9389 3.1225 -0.0029
9.9389 1.5221 2.7263
C Nb V Hf
4 2 1 1
Direct
0.1218 0.1218 0.1218 C
0.3805 0.3805 0.3805 C
0.6247 0.6247 0.6247 C
0.8728 0.8728 0.8728 C
0.4969 0.4969 0.4969 Nb
0.2491 0.2491 0.2491 Nb
0.7512 0.7512 0.7512 V
0.0030 0.0030 0.0030 Hf
```



(6)
Below is a relaxed structure of FeNi2As, with properties calculated at the PBE-GGA level.

crystal system = tetragonal
total DFT energy (no corrections) = -6.216 eV per atom
DFT formation energy = -0.047 eV per atom
ρ = 8537 kg/m³
space group = No. 139

```
FeNi2As
1.0
4.4941 0.0149 0.0000
1.5753 4.2090 0.0000
-3.0347 -2.1120 2.5549
As Ni Fe
1 2 1
Direct
0.2500 0.7500 0.5000 As
0.0000 0.0000 0.0000 Ni
0.5000 0.5000 0.0000 Ni
0.7500 0.2500 0.5000 Fe
```



(7)
Below is a relaxed structure of NaRuBr2, with properties calculated at the PBE-GGA level.

uncorrected formation energy = -65 meV/atom
crystal system = tetragonal
total DFT energy (no corrections) = -3.551 eV per atom
ρ = 4082 kg/m³
excess energy over the best structure of this formula in the dataset = 0 kJ/mol of formula units
space group = No. 122

```
NaRuBr2
1.0
5.8948 0.0000 0.0000
0.0000 5.8948 0.0000
2.9474 2.9474 6.6457
Br Na Ru
4 2 2
Direct
0.3750 0.3159 0.7500 Br
0.8750 0.9341 0.7500 Br
0.6841 0.1250 0.2500 Br
0.0659 0.6250 0.2500 Br
0.2500 0.7500 0.5000 Na
0.5000 0.5000 0.0000 Na
0.0000 0.0000 0.0000 Ru
0.7500 0.2500 0.5000 Ru
```



(8)
Below is a relaxed structure of Na2H4S3O12, with properties calculated at the PBE-GGA level.

crystal system = orthorhombic
total DFT energy (no corrections) = -5.586 eV per atom
ρ = 2194 kg/m³
space group = No. 33

```
Na2H4S3O12
1.0
7.0731 0.0000 0.0000
0.0000 10.2104 0.0000
0.0000 0.0000 14.1757
O Na H S
48 8 16 12
Direct
0.0636 0.1660 0.5141 O
0.7799 0.7000 0.5267 O
0.7865 0.9520 0.2150 O
0.2799 0.8000 0.0267 O
0.9364 0.8340 0.0141 O
0.3735 0.3164 0.8721 O
0.6215 0.1617 0.2427 O
0.3417 0.7822 0.2824 O
0.5869 0.6551 0.8910 O
0.3785 0.8383 0.7427 O
0.8647 0.5133 0.8747 O
0.3647 0.9867 0.3747 O
0.8321 0.9918 0.4766 O
0.1583 0.2822 0.2824 O
0.4364 0.6660 0.5141 O
0.1679 0.0082 0.9766 O
0.8417 0.7178 0.7824 O
0.6410 0.5376 0.7437 O
0.5636 0.3340 0.0141 O
0.0869 0.8449 0.3910 O
0.9370 0.5400 0.1027 O
0.7135 0.4520 0.2150 O
0.4370 0.9600 0.6027 O
0.8590 0.0376 0.7437 O
0.8767 0.1463 0.1236 O
0.2135 0.0480 0.7150 O
0.6679 0.4918 0.4766 O
0.1353 0.4867 0.3747 O
0.3767 0.3537 0.6236 O
0.4131 0.3449 0.3910 O
0.1410 0.9624 0.2437 O
0.6265 0.6836 0.3721 O
0.1233 0.8537 0.6236 O
0.8735 0.1836 0.3721 O
0.0630 0.4600 0.6027 O
0.2865 0.5480 0.7150 O
0.6583 0.2178 0.7824 O
0.5630 0.0400 0.1027 O
0.6353 0.0133 0.8747 O
0.1215 0.3383 0.7427 O
0.2201 0.3000 0.0267 O
0.3590 0.4624 0.2437 O
0.1265 0.8164 0.8721 O
0.6233 0.6463 0.1236 O
0.8785 0.6617 0.2427 O
0.3321 0.5082 0.9766 O
0.7201 0.2000 0.5267 O
0.9131 0.1551 0.8910 O
0.2602 0.6283 0.1364 Na
0.7602 0.8717 0.6364 Na
0.7398 0.3717 0.6364 Na
0.2398 0.1283 0.1364 Na
0.3917 0.1539 0.4990 Na
0.6083 0.8461 0.9990 Na
0.1083 0.6539 0.4990 Na
0.8917 0.3461 0.9990 Na
0.0674 0.0609 0.9419 H
0.7118 0.1747 0.2992 H
0.0688 0.0470 0.7276 H
0.9312 0.9530 0.2276 H
0.9501 0.7507 0.8244 H
0.2882 0.8253 0.7992 H
0.7882 0.6747 0.2992 H
0.4501 0.7493 0.3244 H
0.0499 0.2493 0.3244 H
0.9326 0.9391 0.4419 H
0.4312 0.5470 0.7276 H
0.5674 0.4391 0.4419 H
0.2118 0.3253 0.7992 H
0.5499 0.2507 0.8244 H
0.4326 0.5609 0.9419 H
0.5688 0.4530 0.2276 H
0.2833 0.9223 0.6643 S
0.2167 0.4223 0.6643 S
0.8780 0.1442 0.4741 S
0.7686 0.0987 0.8273 S
0.7833 0.5777 0.1643 S
0.7167 0.0777 0.1643 S
0.6220 0.6442 0.4741 S
0.1220 0.8558 0.9741 S
0.2686 0.4013 0.3273 S
0.7314 0.5987 0.8273 S
0.3780 0.3558 0.9741 S
0.2314 0.9013 0.3273 S
```